First-principles (PBE-GGA) data for a relaxed structure of Cd3IrPd, as listed in Alexandria via LeMat-Bulk.

The structure in POSCAR format:
```
Cd3IrPd
1.0
-0.2916 -1.8573 4.7588
2.9954 -3.9233 -1.3477
4.1380 2.7091 1.3109
Ir Cd Pd
1 3 1
Direct
0.0000 0.0000 0.0000
0.0000 0.5000 0.0000
0.5000 0.0000 0.0000
0.0000 0.0000 0.5000
0.5000 0.5000 0.5000
```

Properties
formation enthalpy at 0 K: 0.600 eV/atom
theoretical density: 7882 kg/m³
E above lowest polymorph: 0 meV/atom
DFT total energy: -2.760 eV per atom

=====

First-principles (PBE-GGA) data for a relaxed structure of Cd2IrPd, as listed in Alexandria via LeMat-Bulk.

The structure in POSCAR format:
```
Cd2IrPd
1.0
-0.1362 0.0768 3.2354
4.5402 -0.7563 0.2090
0.7604 4.5437 -0.0758
Ir Pd Cd
1 1 2
Direct
0.5000 0.5000 0.5000
0.5000 0.0000 0.0000
0.0000 0.0000 0.5000
0.0000 0.5000 0.0000
```

Properties
formation enthalpy at 0 K: -0.068 eV/atom
theoretical density: 12640 kg/m³
DFT total energy: -4.039 eV per atom

=====

First-principles (PBE-GGA) data for a relaxed structure of Cd2IrPd, as listed in Alexandria via LeMat-Bulk.

The structure in POSCAR format:
```
Cd2IrPd
1.0
-1.4090 0.1458 -2.4759
-2.6005 -1.1491 -0.2309
-5.5087 8.5255 1.9941
Cd Ir Pd
2 1 1
Direct
0.9101 0.9101 0.2698
0.0899 0.0899 0.7302
0.0000 0.0000 0.0000
0.5000 0.5000 0.5000
```

Properties
formation enthalpy at 0 K: 0.207 eV/atom
theoretical density: 12079 kg/m³
DFT total energy: -3.764 eV per atom

=====

First-principles (PBE-GGA) data for a relaxed structure of CdIrPd3, as listed in Alexandria via LeMat-Bulk.

The structure in POSCAR format:
```
CdIrPd3
1.0
-1.2321 1.8524 4.3191
-3.9587 -2.8155 0.0782
2.5328 -3.4994 2.2234
Ir Cd Pd
1 1 3
Direct
0.0000 0.0000 0.0000
0.5000 0.5000 0.5000
0.0000 0.0000 0.5000
0.5000 0.0000 0.0000
0.0000 0.5000 0.0000
```

Properties
formation enthalpy at 0 K: 0.939 eV/atom
theoretical density: 9034 kg/m³
E above lowest polymorph: 0 meV/atom
DFT total energy: -4.132 eV per atom

=====

First-principles (PBE-GGA) data for a relaxed structure of CdIr2Pd, as listed in Alexandria via LeMat-Bulk.

The structure in POSCAR format:
```
CdIr2Pd
1.0
-0.3805 2.3201 2.9947
-2.7545 -2.2357 1.3822
5.0368 -5.1088 7.0181
Cd Ir Pd
2 4 2
Direct
0.0000 0.0000 0.0000
0.7500 0.2500 0.5000
0.8750 0.8415 0.7500
0.1585 0.6250 0.2500
0.3750 0.4085 0.7500
0.5915 0.1250 0.2500
0.2500 0.7500 0.5000
0.5000 0.5000 0.0000
```

Properties
formation enthalpy at 0 K: 0.499 eV/atom
theoretical density: 14295 kg/m³
DFT total energy: -5.458 eV per atom

=====

First-principles (PBE-GGA) data for a relaxed structure of Cd2IrPd, as listed in Alexandria via LeMat-Bulk.

The structure in POSCAR format:
```
Cd2IrPd
1.0
-0.7029 -0.8347 -3.8430
-3.2234 -2.1141 1.0488
-7.3514 6.3835 -2.1183
Ir Pd Cd
2 2 4
Direct
0.0000 0.0000 0.0000
0.7500 0.2500 0.5000
0.5000 0.5000 0.0000
0.2500 0.7500 0.5000
0.1221 0.6250 0.2500
0.6279 0.1250 0.2500
0.3750 0.3721 0.7500
0.8750 0.8779 0.7500
```

Properties
formation enthalpy at 0 K: 0.381 eV/atom
theoretical density: 11400 kg/m³
DFT total energy: -3.590 eV per atom